Entry from the Alexandria database: an optimized crystal structure of TaCBr3 (GGA-PBE).

Calculated values
Formation energy without anion corrections = 1663 meV/atom
M_tot = 2.933 μB per cell
Energy = -3.56 eV per atom

a = 4.646 Å, b = 4.646 Å, c = 4.646 Å
α = 90.00°, β = 90.00°, γ = 90.00°
Element x y z (fractional)
Ta (0.000, 0.000, 0.000)
C (0.500, 0.500, 0.500)
Br (0.000, 0.500, 0.500)
Br (0.500, 0.000, 0.500)
Br (0.500, 0.500, 0.000)